The following is a DFT calculation (GGA+U) of an optimized crystal structure of SrPuMn2O8.

- Magnetization: 8.000 μB per formula unit
- Calculated total energy: -7.712 eV per atom

Lattice parameters (Å, degrees): 6.087 6.087 6.087 107.40 107.40 113.71
Site moments in Bohr magnetons follow the coordinates.
Fractional coordinates of all 12 atoms:
Sr  0.000  0.000  0.000  -0.01
Pu  0.250  0.750  0.500  2.40
Mn  0.750  0.250  0.500  1.86
Mn  0.500  0.500  0.000  4.43
O  0.406  0.082  0.325  -0.06
O  0.310  0.536  0.225  -0.15
O  0.310  0.085  0.775  -0.15
O  0.757  0.082  0.675  -0.06
O  0.915  0.690  0.225  -0.15
O  0.918  0.243  0.325  -0.06
O  0.918  0.594  0.675  -0.06
O  0.464  0.690  0.775  -0.15